[1]
DFT (PBE) results for TcAgAu2 after structural relaxation.

The value obtained for the distance to the lowest polymorph of the same formula is 107 meV per atom. The volume comes out at 17.03 A^3/atom. The calculated formation energy is 0.33 eV/atom. The value obtained for the total moment is 1.8 μB/cell. As for the total energy: -36.91 eV/cell. For the mass density, the calculation gives 14.625 Mg/m³.

Lattice parameters (Å, degrees): 9.7681 2.7522 5.1189 90.00 98.20 90.00
Space group Cm (No. 8)
Inequivalent atoms, fractional coordinates:
Tc  0.0000  0.0000  0.0000 [2 per cell]
Ag  0.2471  0.5000  0.2706 [2 per cell]
Au  0.0008  0.5000  0.5018 [2 per cell]
Au  0.2565  0.0000  0.7841 [2 per cell]

[2]
DFT (PBE) results for TcAgAu2 after structural relaxation.

The value obtained for the distance to the lowest polymorph of the same formula is 152 meV per atom. The volume comes out at 17.50 A^3/atom. The calculated formation energy is 0.37 eV/atom. The value obtained for the total moment is 2.1 μB/cell. As for the total energy: -36.55 eV/cell. For the mass density, the calculation gives 14.227 Mg/m³.

Lattice parameters (Å, degrees): 2.7561 5.0123 10.1353 90.00 90.00 90.00
Space group Imm2 (No. 44)
Inequivalent atoms, fractional coordinates:
Tc  0.0000  0.0000  0.0000 [2 per cell]
Ag  0.0000  0.5000  0.7496 [2 per cell]
Au  0.0000  0.0000  0.5075 [2 per cell]
Au  0.0000  0.5000  0.2628 [2 per cell]